No. 1
This record from Alexandria via LeMat-Bulk describes a relaxed structure of Dy2ErThSc5. The functional is PBE.

abc: 5.3776 10.1024 9.6859
angles: 90.00 90.00 105.44
Sites, in units of the cell vectors:
Sc: 0.0199 0.0397 0.0215
Sc: 0.6881 0.3763 0.2289
Sc: 0.5983 0.1966 0.5152
Sc: 0.4017 0.8034 0.0152
Sc: 0.2549 0.5097 0.3637
Sc: 0.9801 0.9603 0.5215
Sc: 0.5226 0.0452 0.2226
Sc: 0.3119 0.6237 0.7289
Sc: 0.4774 0.9548 0.7226
Sc: 0.7451 0.4903 0.8637
Th: 0.4030 0.8060 0.4235
Th: 0.5970 0.1940 0.9235
Dy: 0.8978 0.7956 0.8179
Dy: 0.1371 0.2743 0.7010
Dy: 0.1022 0.2044 0.3179
Dy: 0.8629 0.7257 0.2010
Er: 0.2083 0.4165 0.0295
Er: 0.7917 0.5835 0.5295

Summary:
total moment = 0.00 μB per atom
formation energy = 17.07 kJ/mol of atoms

No. 2
This record from Alexandria via LeMat-Bulk describes a relaxed structure of DyErThSc. The functional is PBE.

abc: 5.5264 5.5264 5.5264
angles: 60.00 60.00 60.00
Sites, in units of the cell vectors:
Sc: 0.0000 0.0000 0.0000
Er: 0.5000 0.5000 0.5000
Th: 0.2500 0.2500 0.2500
Dy: 0.7500 0.7500 0.7500

Summary:
total moment = 0.00 μB per atom
formation energy = 10.17 kJ/mol of atoms

No. 3
This record from Alexandria via LeMat-Bulk describes a relaxed structure of Dy6Er3Th2Sc. The functional is PBE.

abc: 6.0826 6.0826 11.7000
angles: 94.98 94.98 119.99
Sites, in units of the cell vectors:
Dy: 0.9178 0.5852 0.7525
Dy: 0.2509 0.2509 0.7522
Dy: 0.4148 0.0822 0.2475
Dy: 0.0822 0.4148 0.2475
Dy: 0.7491 0.7491 0.2478
Dy: 0.5852 0.9178 0.7525
Er: 0.8335 0.1665 0.5000
Er: 0.1665 0.8335 0.5000
Er: 0.5000 0.5000 0.5000
Sc: 0.0000 0.0000 0.0000
Th: 0.3336 0.6664 0.0000
Th: 0.6664 0.3336 0.0000

Summary:
total moment = 0.00 μB per atom
formation energy = 2.85 kJ/mol of atoms

No. 4
This record from Alexandria via LeMat-Bulk describes a relaxed structure of Dy6Er2Th3Sc. The functional is PBE.

abc: 6.1229 6.1229 11.6409
angles: 95.06 95.06 119.98
Sites, in units of the cell vectors:
Dy: 0.4136 0.0825 0.2500
Dy: 0.7513 0.7513 0.2505
Dy: 0.2487 0.2487 0.7495
Dy: 0.9175 0.5864 0.7500
Dy: 0.0825 0.4136 0.2500
Dy: 0.5864 0.9175 0.7500
Er: 0.6664 0.3336 0.0000
Er: 0.3336 0.6664 0.0000
Th: 0.1672 0.8328 0.5000
Th: 0.5000 0.5000 0.5000
Th: 0.8328 0.1672 0.5000
Sc: 0.0000 0.0000 0.0000

Summary:
total moment = 0.00 μB per atom
formation energy = 3.53 kJ/mol of atoms